{"formula": "CuHgSb", "functional": "PBE", "state": "relaxed", "cell": [[-3.134, -2.886, -0.177], [3.692, -0.735, -2.004], [1.540, -1.889, 3.532]], "species": ["Cu", "Hg", "Sb"], "frac_coords": [[0.000, 0.000, 0.968], [0.333, 0.667, 0.285], [0.667, 0.333, 0.746]], "raw_formation_energy_ev_per_fu": 0.60, "volume_a3_per_atom": 22.52}